Here is an optimized crystal structure of ZnReBr2 from the Alexandria database. Energies are from PBE-GGA.

```
ZnReBr2
1.0
5.045 0.035 0.027
4.032 3.031 0.027
2.409 0.814 7.277
Zn Re Br
1 1 2
Direct
0.820 0.820 0.625
0.550 0.550 0.625
0.140 0.140 0.347
0.990 0.990 0.903
```

Summary:
**Fermi-level density of states**: 0.4280 states/eV per atom
**Space-group type**: No. 8
**Size of the total moment**: 1.076 μB/cell
**Mass density**: 6209 kg/m³
**Formation energy without anion corrections**: 350 meV/atom
**Energy relative to the lowest polymorph listed for this composition**: 162 meV per atom